# La3Sm3Tl2Hg PBE optimized geometry
# energy	-0.1490	Ha/atom
# calculated formation energy	-0.279	eV/atom
# theoretical density	8.604	g/cm³
data_La3Sm3Tl2Hg
_space_group_name_H-M_alt 'P -6 2 m'
_space_group_IT_number 189
_space_group_name_Hall 'P -6 -2'
_cell_length_a 9.2499
_cell_length_b 9.2499
_cell_length_c 3.8476
_cell_angle_alpha 90.00
_cell_angle_beta 90.00
_cell_angle_gamma 120.00
loop_
_atom_site_label
_atom_site_fract_x
_atom_site_fract_y
_atom_site_fract_z
La1 0.0000 0.7229 0.0000
Sm1 0.0000 0.3931 0.5000
Tl1 0.3333 0.6667 0.0000
Hg1 0.0000 0.0000 0.5000